Entry from Alexandria: a geometry-optimized Ti12Al3Si structure (PBE).

Output
- density of states at the Fermi level (states/eV per cell) = 19.78
- space group = Pmmm, No. 47
- total moment (μB/f.u.) = 0.001
- final energy (eV/cell) = -115.76

Unit cell a=5.078 b=5.081 c=10.154 alpha=90.00 beta=90.00 gamma=90.00
Fractional coordinates of all 16 atoms:
Ti: 0.000 0.000 0.123
Ti: 0.000 0.000 0.374
Ti: 0.000 0.000 0.626
Ti: 0.000 0.000 0.877
Ti: 0.249 0.500 0.245
Ti: 0.249 0.500 0.755
Ti: 0.500 0.249 0.500
Ti: 0.500 0.253 0.000
Ti: 0.500 0.747 0.000
Ti: 0.500 0.751 0.500
Ti: 0.751 0.500 0.245
Ti: 0.751 0.500 0.755
Al: 0.000 0.500 0.500
Al: 0.500 0.000 0.248
Al: 0.500 0.000 0.752
Si: 0.000 0.500 0.000